Entry 1:
## Ba2LiHg3Bi4 (PBE)

Data for a relaxed structure of Ba2LiHg3Bi4.

Computed properties:
As for the space-group type: P-4m2, No. 115. Its final energy is -2.662 eV/atom.

Cell and atoms, written as POSCAR:
```
Ba2LiHg3Bi4
1.0
4.9128 0.0000 0.0000
0.0000 4.9128 0.0000
0.0000 0.0000 13.7180
Ba Li Hg Bi
2 1 3 4
direct
0.0000 0.5000 0.2455
0.5000 0.0000 0.7545
0.5000 0.5000 0.0000
0.0000 0.0000 0.0000
0.0000 0.5000 0.6498
0.5000 0.0000 0.3502
0.0000 0.0000 0.5000
0.0000 0.5000 0.8692
0.5000 0.0000 0.1308
0.5000 0.5000 0.5000
```

---

Entry 2:
## NdSi4Rh6 (PBE)

Data for a relaxed structure of NdSi4Rh6.

Computed properties:
As for the space-group type: P-6m2, No. 187. The calculation puts the uncorrected formation energy at -0.983 eV/atom.

Cell and atoms, written as POSCAR:
```
NdSi4Rh6
1.0
7.0433 0.0000 0.0000
-3.5217 6.0997 0.0000
0.0000 0.0000 3.8217
Nd Si Rh
1 4 6
direct
0.0000 0.0000 0.0000
0.3333 0.6667 0.0000
0.4032 0.2016 0.5000
0.7984 0.2016 0.5000
0.7984 0.5968 0.5000
0.1996 0.3993 0.5000
0.1996 0.8004 0.5000
0.5328 0.0655 0.0000
0.5328 0.4672 0.0000
0.6007 0.8004 0.5000
0.9345 0.4672 0.0000
```

---

Entry 3:
## Ca3GaBi (PBE)

Data for a relaxed structure of Ca3GaBi.

Computed properties:
As for the space-group type: P1, No. 1. Its final energy is -3.134 eV/atom.

Cell and atoms, written as POSCAR:
```
Ca3GaBi
1.0
4.1243 0.0000 0.0000
-2.0607 8.5680 0.0000
-0.0008 -1.0149 9.0171
Ca Ga Bi
6 2 2
direct
0.0000 0.0000 0.0000
0.1004 0.2011 0.3788
0.2971 0.5949 0.9961
0.4452 0.8909 0.6237
0.6541 0.3100 0.7551
0.8026 0.6063 0.3826
0.2591 0.5204 0.6220
0.8397 0.6804 0.7567
0.4417 0.8836 0.2661
0.6589 0.3176 0.1127
```

---

no.,total magnetization (μB/atom)
1,0.000
2,0.000
3,0.000